LaCr2Br: optimized geometry, GGA-PBE.

Cell: 5.905 10.358 3.500 Å, 90.00 90.00 90.00°
Space group Cmmm (No. 65)
Symmetry-distinct sites (fractional):
La: 0.000 0.000 0.000 x2
Cr: 0.250 0.250 0.500 x4
Br: 0.000 0.500 0.000 x2

Calculated values
**ΔE_f (raw)**: 2.1 eV per formula unit
**DOS(E_F)**: 3.176 states/eV/f.u.
**ρ**: 5.008 Mg/m³
**Total energy**: -5.931 eV per atom

---

Ce2PuScS4: optimized geometry, GGA-PBE.

Cell: 6.797 3.903 6.809 Å, 90.00 109.18 90.00°
Space group P2/m (No. 10)
Symmetry-distinct sites (fractional):
Ce: 0.000 0.000 0.000 x1
Ce: 0.500 0.500 0.000 x1
Pu: 0.000 0.500 0.500 x1
Sc: 0.500 0.000 0.500 x1
S: 0.254 0.000 0.735 x2
S: 0.266 0.500 0.270 x2

Calculated values
**ΔE_f (raw)**: -15.3 eV per formula unit
**DOS(E_F)**: 15.358 states/eV/f.u.
**ρ**: 6.788 Mg/m³
**Total energy**: -8.048 eV per atom

---

RbAc3: optimized geometry, GGA-PBE.

Cell: 8.4250 8.4250 6.5241 Å, 90.00 90.00 120.00°
Space group P6_3/mmc (No. 194)
Symmetry-distinct sites (fractional):
Rb: 0.3333 0.6667 0.2500 x2
Ac: 0.1578 0.3156 0.7500 x6

Calculated values
**DOS(E_F)**: 8.789 states/eV/f.u.
**ρ**: 6.347 Mg/m³
**Total energy**: -2.939 eV per atom

---

Copy entry 3 word for word.
RbAc3: optimized geometry, GGA-PBE.

Cell: 8.4250 8.4250 6.5241 Å, 90.00 90.00 120.00°
Space group P6_3/mmc (No. 194)
Symmetry-distinct sites (fractional):
Rb: 0.3333 0.6667 0.2500 x2
Ac: 0.1578 0.3156 0.7500 x6

Calculated values
**DOS(E_F)**: 8.789 states/eV/f.u.
**ρ**: 6.347 Mg/m³
**Total energy**: -2.939 eV per atom